[1]
This record from Alexandria describes a relaxed CdSi2TcPt crystal. The functional is PBE-GGA.

Lattice parameters (Å, degrees): 4.566 5.091 4.566 90.00 90.00 90.00
Fractional positions:
Cd  0.500  0.500  0.500
Tc  0.000  0.000  0.000
Si  0.000  0.000  0.500
Si  0.500  0.000  0.000
Pt  0.000  0.500  0.000

Results
Its space group is No. 123. The value obtained for the uncorrected formation energy is 0.542 eV per atom. The total DFT energy (no corrections) comes out at -5.092 eV/atom. Its calculated volume is 21.23 A^3/atom. The density of states at the Fermi level is 0.910 states/eV/atom.


[2]
This record from Alexandria describes a relaxed ThCdSi2Pt5 crystal. The functional is PBE-GGA.

Lattice parameters (Å, degrees): 4.316 4.316 8.722 90.00 90.00 90.00
Fractional positions:
Pt  0.500  0.500  0.500
Pt  0.000  0.500  0.742
Pt  0.500  0.000  0.742
Pt  0.500  0.000  0.258
Pt  0.000  0.500  0.258
Si  0.500  0.500  0.868
Si  0.500  0.500  0.132
Cd  0.000  0.000  0.000
Th  0.000  0.000  0.500

Results
Its space group is No. 123. The value obtained for the uncorrected formation energy is -0.757 eV per atom. The total DFT energy (no corrections) comes out at -6.245 eV/atom. Its calculated volume is 18.05 A^3/atom. The density of states at the Fermi level is 0.325 states/eV/atom.


[3]
This record from Alexandria describes a relaxed Th2CdSi3Pt12 crystal. The functional is PBE-GGA.

Lattice parameters (Å, degrees): 7.631 7.631 7.631 66.45 66.45 66.45
Fractional positions:
Si  0.500  0.000  0.000
Si  0.000  0.000  0.500
Si  0.000  0.500  0.000
Cd  0.000  0.000  0.000
Pt  0.858  0.858  0.388
Pt  0.354  0.354  0.896
Pt  0.896  0.354  0.354
Pt  0.858  0.388  0.858
Pt  0.354  0.896  0.354
Pt  0.104  0.646  0.646
Pt  0.612  0.142  0.142
Pt  0.142  0.612  0.142
Pt  0.142  0.142  0.612
Pt  0.646  0.646  0.104
Pt  0.388  0.858  0.858
Pt  0.646  0.104  0.646
Th  0.609  0.609  0.609
Th  0.391  0.391  0.391

Results
Its space group is No. 166. The value obtained for the uncorrected formation energy is -0.528 eV per atom. The total DFT energy (no corrections) comes out at -6.334 eV/atom. Its calculated volume is 19.88 A^3/atom. The density of states at the Fermi level is 0.386 states/eV/atom.


[4]
This record from Alexandria describes a relaxed ThCdSi2Pt7 crystal. The functional is PBE-GGA.

Lattice parameters (Å, degrees): 4.103 4.103 15.160 97.78 97.78 90.00
Fractional positions:
Th  0.500  0.500  0.000
Si  0.119  0.119  0.238
Si  0.881  0.881  0.762
Pt  0.925  0.425  0.850
Pt  0.193  0.193  0.387
Pt  0.000  0.000  0.000
Pt  0.807  0.807  0.613
Pt  0.076  0.576  0.151
Pt  0.424  0.924  0.849
Pt  0.575  0.075  0.150
Cd  0.250  0.750  0.500

Results
Its space group is No. 119. The value obtained for the uncorrected formation energy is -0.382 eV per atom. The total DFT energy (no corrections) comes out at -5.969 eV/atom. Its calculated volume is 22.78 A^3/atom. The density of states at the Fermi level is 0.450 states/eV/atom.


[5]
This record from Alexandria describes a relaxed Tm2CdSi3Pt4 crystal. The functional is PBE-GGA.

Lattice parameters (Å, degrees): 4.091 4.091 10.837 90.00 90.00 90.00
Fractional positions:
Pt  0.500  0.500  0.000
Pt  0.500  0.000  0.661
Pt  0.000  0.000  0.000
Pt  0.000  0.500  0.339
Tm  0.500  0.000  0.243
Tm  0.000  0.500  0.757
Cd  0.500  0.500  0.500
Si  0.500  0.000  0.873
Si  0.000  0.000  0.500
Si  0.000  0.500  0.127

Results
Its space group is No. 115. The value obtained for the uncorrected formation energy is -0.919 eV per atom. The total DFT energy (no corrections) comes out at -5.948 eV/atom. Its calculated volume is 18.13 A^3/atom. The density of states at the Fermi level is 0.407 states/eV/atom.


[6]
This record from Alexandria describes a relaxed TmCdSi2Pt5 crystal. The functional is PBE-GGA.

Lattice parameters (Å, degrees): 3.967 3.967 11.533 90.00 90.00 90.00
Fractional positions:
Tm  0.000  0.000  0.000
Pt  0.000  0.500  0.183
Pt  0.000  0.500  0.817
Pt  0.500  0.000  0.817
Pt  0.500  0.500  0.500
Pt  0.500  0.000  0.183
Si  0.500  0.500  0.703
Si  0.500  0.500  0.297
Cd  0.000  0.000  0.500

Results
Its space group is No. 123. The value obtained for the uncorrected formation energy is -0.708 eV per atom. The total DFT energy (no corrections) comes out at -5.868 eV/atom. Its calculated volume is 20.17 A^3/atom. The density of states at the Fermi level is 0.195 states/eV/atom.